# Pu2Tc3Ge2 | Alexandria via LeMat-Bulk | PBE | relaxed
data_Pu2Tc3Ge2
_chemical_formula_sum 'Pu4 Tc6 Ge4'
_cell_length_a 7.022
_cell_length_b 7.022
_cell_length_c 7.022
_cell_angle_alpha 109.47
_cell_angle_beta 109.47
_cell_angle_gamma 109.47
_symmetry_space_group_name_H-M 'P 1'
_symmetry_Int_Tables_number 1
loop_
_symmetry_equiv_pos_as_xyz
'x,y,z'
loop_
_atom_site_label
_atom_site_type_symbol
_atom_site_fract_x
_atom_site_fract_y
_atom_site_fract_z
Pu1 Pu 0.000 0.478 0.500
Pu2 Pu 0.022 0.022 0.022
Pu3 Pu 0.478 0.500 0.000
Pu4 Pu 0.500 0.000 0.478
Tc1 Tc 0.241 0.750 0.991
Tc2 Tc 0.250 0.509 0.259
Tc3 Tc 0.259 0.250 0.509
Tc4 Tc 0.509 0.259 0.250
Tc5 Tc 0.750 0.991 0.241
Tc6 Tc 0.991 0.241 0.750
Ge1 Ge 0.000 0.883 0.500
Ge2 Ge 0.500 0.000 0.883
Ge3 Ge 0.617 0.617 0.617
Ge4 Ge 0.883 0.500 0.000
# * N(E_F): 19.660 states/eV per cell
# * formation energy: 0.42 eV/f.u.
# * SG: No. 199
# * crystal system: cubic
# * total magnetization: 0.9906 μB per atom
# * calculated total energy: -9.796 eV/atom